Compound: Pr8Hg2Au
Source: the Alexandria database
Functional: PBE-GGA
Structure: optimized geometry

Lattice parameters (Å, degrees): 5.3353 7.1261 9.8955 103.56 105.64 90.00
Last column: nearest neighbours and their distance in Å.
Fractional positions:
Pr 0.4093 0.5423 0.8187  1 Au 3.30, 4 Pr 3.53-3.65, 2 Hg 3.53
Au 0.5000 0.0000 0.0000  8 Pr 3.09-3.30
Pr 0.2034 0.3200 0.4068  1 Hg 3.11
Pr 0.9814 0.2294 0.9628  1 Hg 3.18, 2 Au 3.19, 3 Pr 3.51-3.53
Pr 0.6601 0.9784 0.3202  1 Au 3.09, 3 Hg 3.18-3.25
Pr 0.7966 0.6800 0.5932  1 Hg 3.11
Hg 0.1824 0.7393 0.3649  5 Pr 3.11-3.25
Pr 0.3399 0.0216 0.6798  1 Au 3.09, 3 Hg 3.18-3.25
Pr 0.5907 0.4577 0.1813  1 Au 3.30, 4 Pr 3.53-3.65, 2 Hg 3.53
Pr 0.0186 0.7706 0.0372  1 Hg 3.18, 2 Au 3.19, 3 Pr 3.51-3.53
Hg 0.8176 0.2607 0.6351  5 Pr 3.11-3.25

Output
The calculation puts the energy above the lowest structure with this stoichiometry at 0.00 eV per formula unit. For the formation energy, the calculation gives -278 meV/atom.